The following is a PBE calculation of CuNi2Pt2 after structural relaxation, from the Alexandria database.

```
5
Lattice="-3.263 -0.468 -1.719 -1.185 -2.109 2.823 -4.217 3.246 3.102" Properties=species:S:1:pos:R:3 pbc="T T T"
Pt -3.813 -0.075 3.239
Pt -4.852 0.745 0.968
Ni -2.613 -0.402 1.051
Ni -6.051 1.072 3.156
Cu 0.000 0.000 0.000
```

Output
The excess energy over the best structure of this formula in the dataset comes out at 482 meV per atom. The value obtained for the formation energy is 0.3905 eV per atom. The value obtained for the calculated total energy is -5.158 eV per atom. The calculation puts the mass density at 12.318 Mg/m³.